[1]
DFT (PBE) results for a relaxed structure of CrHg5.

Summary:
DFT total energy   -1.6337 eV/atom
Space group   Cm, No. 8
Energy relative to the elements   222 meV/atom
Density of states at the Fermi level   2.131 states/eV/f.u.
Total magnetization   4.5 μB/f.u.

Cell lengths 5.8729, 5.8729, 7.9073 Å; angles 99.27, 99.27, 32.80 degrees
Sites, in units of the cell vectors:
Cr: 0.0000 0.0000 0.0000
Hg: 0.0675 0.0675 0.6496
Hg: 0.3414 0.3414 0.7713
Hg: 0.4806 0.4806 0.2923
Hg: 0.7154 0.7154 0.0425
Hg: 0.7654 0.7654 0.4319

[2]
DFT (PBE) results for a relaxed structure of Ac4NiIrS2.

Summary:
Formation energy from raw total energies   -1.180 eV/atom
DFT total energy   -6.0967 eV/atom
Space group   P2/m, No. 10
Density of states at the Fermi level   5.124 states/eV/f.u.
Total magnetization   0.0 μB/f.u.

Cell lengths 7.3274, 4.2564, 7.9293 Å; angles 90.00, 108.14, 90.00 degrees
Sites, in units of the cell vectors:
Ac: 0.2424 0.0000 0.2332
Ac: 0.2548 0.5000 0.7672
Ac: 0.7452 0.5000 0.2328
Ac: 0.7576 0.0000 0.7668
Ni: 0.5000 0.0000 0.0000
Ir: 0.0000 0.5000 0.0000
S: 0.0000 0.0000 0.5000
S: 0.5000 0.5000 0.5000

[3]
DFT (PBE) results for a relaxed structure of AcCo6.

Summary:
DFT total energy   -6.2428 eV/atom
Space group   Im-3m, No. 229
Energy relative to the elements   435 meV/atom
Density of states at the Fermi level   12.712 states/eV/f.u.
Total magnetization   0.7 μB/f.u.

Cell lengths 5.3210, 5.3210, 5.3210 Å; angles 109.47, 109.47, 109.47 degrees
Sites, in units of the cell vectors:
Ac: 0.0000 0.0000 0.0000
Co: 0.2500 0.5000 0.7500
Co: 0.2500 0.7500 0.5000
Co: 0.5000 0.2500 0.7500
Co: 0.5000 0.7500 0.2500
Co: 0.7500 0.2500 0.5000
Co: 0.7500 0.5000 0.2500

[4]
DFT (PBE) results for a relaxed structure of Rb2PuPdO4.

Summary:
Formation energy from raw total energies   -1.719 eV/atom
DFT total energy   -6.8810 eV/atom
Space group   P2/m, No. 10
Density of states at the Fermi level   5.040 states/eV/f.u.
Total magnetization   4.0 μB/f.u.

Cell lengths 6.9843, 3.3772, 7.0846 Å; angles 90.00, 118.64, 90.00 degrees
Sites, in units of the cell vectors:
Rb: 0.0000 0.0000 0.0000
Rb: 0.5000 0.5000 0.0000
Pu: 0.0000 0.0000 0.5000
Pd: 0.5000 0.5000 0.5000
O: 0.0714 0.5000 0.7216
O: 0.3525 0.0000 0.5739
O: 0.6475 0.0000 0.4261
O: 0.9286 0.5000 0.2784

[5]
DFT (PBE) results for a relaxed structure of HfCdCoCu.

Summary:
DFT total energy   -5.5649 eV/atom
Space group   F-43m, No. 216
Energy relative to the elements   -47 meV/atom
Density of states at the Fermi level   2.790 states/eV/f.u.
Total magnetization   0.5 μB/f.u.

Cell lengths 4.4652, 4.4652, 4.4652 Å; angles 60.00, 60.00, 60.00 degrees
Sites, in units of the cell vectors:
Hf: 0.0000 0.0000 0.0000
Cd: 0.5000 0.5000 0.5000
Co: 0.7500 0.7500 0.7500
Cu: 0.2500 0.2500 0.2500

[6]
DFT (PBE) results for a relaxed structure of CsHg6H3.

Summary:
DFT total energy   -1.1743 eV/atom
Space group   P2_1/c, No. 14
Density of states at the Fermi level   1.394 states/eV/f.u.
Total magnetization   0.0 μB/f.u.

Cell lengths 7.6926, 6.6503, 10.7682 Å; angles 90.00, 115.50, 90.00 degrees
Sites, in units of the cell vectors:
Cs: 0.0000 0.0000 0.0000
Cs: 0.0000 0.5000 0.5000
Hg: 0.0464 0.0010 0.3711
Hg: 0.0464 0.4990 0.8711
Hg: 0.3951 0.1062 0.7131
Hg: 0.3951 0.3938 0.2131
Hg: 0.4131 0.7206 0.9771
Hg: 0.4131 0.7794 0.4771
Hg: 0.5869 0.2206 0.5229
Hg: 0.5869 0.2794 0.0229
Hg: 0.6049 0.6062 0.7869
Hg: 0.6049 0.8938 0.2869
Hg: 0.9536 0.5010 0.1289
Hg: 0.9536 0.9990 0.6289
H: 0.0178 0.2354 0.2632
H: 0.0178 0.2646 0.7632
H: 0.5000 0.0000 0.0000
H: 0.5000 0.5000 0.5000
H: 0.9822 0.7354 0.2368
H: 0.9822 0.7646 0.7368

[7]
DFT (PBE) results for a relaxed structure of Pr4Pt2Pb.

Summary:
DFT total energy   -5.6788 eV/atom
Space group   C2/c, No. 15
Energy relative to the elements   -692 meV/atom
Density of states at the Fermi level   7.852 states/eV/f.u.
Total magnetization   0.0 μB/f.u.

Cell lengths 8.2732, 8.2732, 9.7553 Å; angles 124.35, 124.35, 70.65 degrees
Sites, in units of the cell vectors:
Pr: 0.1985 0.7775 0.9203
Pr: 0.2225 0.8015 0.5797
Pr: 0.2784 0.3571 0.0797
Pr: 0.3571 0.2784 0.5797
Pr: 0.6429 0.7216 0.4203
Pr: 0.7216 0.6429 0.9203
Pr: 0.7775 0.1985 0.4203
Pr: 0.8015 0.2225 0.0797
Pt: 0.0000 0.5000 0.5000
Pt: 0.5000 0.0000 0.0000
Pt: 0.5000 0.5000 0.0000
Pt: 0.5000 0.5000 0.5000
Pb: 0.1247 0.8753 0.2500
Pb: 0.8753 0.1247 0.7500

[8]
DFT (PBE) results for a relaxed structure of Mg4TeMo.

Summary:
Formation energy from raw total energies   0.445 eV/atom
DFT total energy   -2.9470 eV/atom
Space group   F-43m, No. 216
Density of states at the Fermi level   6.444 states/eV/f.u.
Total magnetization   0.9 μB/f.u.

Cell lengths 5.5911, 5.5911, 5.5911 Å; angles 60.00, 60.00, 60.00 degrees
Sites, in units of the cell vectors:
Mg: 0.1233 0.1233 0.1233
Mg: 0.1233 0.1233 0.6301
Mg: 0.1233 0.6301 0.1233
Mg: 0.6301 0.1233 0.1233
Te: 0.5000 0.5000 0.5000
Mo: 0.7500 0.7500 0.7500

[9]
DFT (PBE) results for a relaxed structure of KRbO2.

Summary:
Formation energy from raw total energies   -0.576 eV/atom
DFT total energy   -3.5713 eV/atom
Space group   Fm-3m, No. 225
Density of states at the Fermi level   4.346 states/eV/f.u.
Total magnetization   2.0 μB/f.u.

Cell lengths 4.8324, 4.8324, 4.8324 Å; angles 60.00, 60.00, 60.00 degrees
Sites, in units of the cell vectors:
K: 0.0000 0.0000 0.0000
Rb: 0.5000 0.5000 0.5000
O: 0.2500 0.2500 0.2500
O: 0.7500 0.7500 0.7500

[10]
DFT (PBE) results for a relaxed structure of Hf2Ga4Pd.

Summary:
DFT total energy   -5.2007 eV/atom
Space group   I4/mmm, No. 139
Energy relative to the elements   115 meV/atom
Density of states at the Fermi level   6.615 states/eV/f.u.
Total magnetization   0.0 μB/f.u.

Cell lengths 7.4834, 7.4834, 7.4834 Å; angles 142.33, 142.33, 54.33 degrees
Sites, in units of the cell vectors:
Hf: 0.1067 0.1067 0.0000
Hf: 0.8933 0.8933 0.0000
Ga: 0.0000 0.5000 0.5000
Ga: 0.3108 0.3108 0.0000
Ga: 0.5000 0.0000 0.5000
Ga: 0.6892 0.6892 0.0000
Pd: 0.5000 0.5000 0.0000

[11]
DFT (PBE) results for a relaxed structure of Zr2TeIr.

Summary:
Formation energy from raw total energies   -0.444 eV/atom
DFT total energy   -7.7190 eV/atom
Space group   I4/mmm, No. 139
Density of states at the Fermi level   3.925 states/eV/f.u.
Total magnetization   0.0 μB/f.u.

Cell lengths 5.1356, 5.1356, 5.1356 Å; angles 128.77, 128.77, 75.38 degrees
Sites, in units of the cell vectors:
Zr: 0.2500 0.7500 0.5000
Zr: 0.7500 0.2500 0.5000
Te: 0.0000 0.0000 0.0000
Ir: 0.5000 0.5000 0.0000

[12]
DFT (PBE) results for a relaxed structure of MoPt2W.

Summary:
DFT total energy   -9.0554 eV/atom
Space group   C2/m, No. 12
Energy relative to the elements   -89 meV/atom
Density of states at the Fermi level   3.702 states/eV/f.u.
Total magnetization   0.0 μB/f.u.

Cell lengths 4.8880, 4.8880, 4.8995 Å; angles 99.19, 99.19, 32.89 degrees
Sites, in units of the cell vectors:
Mo: 0.0000 0.0000 0.0000
Pt: 0.2492 0.2492 0.7495
Pt: 0.7508 0.7508 0.2505
W: 0.5000 0.5000 0.5000

[13]
DFT (PBE) results for a relaxed structure of Sc2GaF.

Summary:
Formation energy from raw total energies   -1.103 eV/atom
DFT total energy   -5.4931 eV/atom
Space group   I-42d, No. 122
Density of states at the Fermi level   3.089 states/eV/f.u.
Total magnetization   0.0 μB/f.u.

Cell lengths 6.8883, 6.8883, 6.8883 Å; angles 133.82, 133.82, 67.37 degrees
Sites, in units of the cell vectors:
Sc: 0.0428 0.6250 0.9178
Sc: 0.3750 0.2928 0.4178
Sc: 0.7072 0.1250 0.0822
Sc: 0.8750 0.9572 0.5822
Ga: 0.2500 0.7500 0.5000
Ga: 0.5000 0.5000 0.0000
F: 0.0000 0.0000 0.0000
F: 0.7500 0.2500 0.5000

[14]
DFT (PBE) results for a relaxed structure of LiMg2As2.

Summary:
DFT total energy   -3.3110 eV/atom
Space group   P4/mbm, No. 127
Energy relative to the elements   -431 meV/atom
Density of states at the Fermi level   1.251 states/eV/f.u.
Total magnetization   0.0 μB/f.u.

Cell lengths 7.7864, 7.7864, 3.2914 Å; angles 90.00, 90.00, 90.00 degrees
Sites, in units of the cell vectors:
Li: 0.0000 0.0000 0.0000
Li: 0.5000 0.5000 0.0000
Mg: 0.1358 0.3642 0.5000
Mg: 0.3642 0.8642 0.5000
Mg: 0.6358 0.1358 0.5000
Mg: 0.8642 0.6358 0.5000
As: 0.1666 0.6666 0.0000
As: 0.3334 0.1666 0.0000
As: 0.6666 0.8334 0.0000
As: 0.8334 0.3334 0.0000

[15]
DFT (PBE) results for a relaxed structure of Th3Pt2C.

Summary:
DFT total energy   -8.0215 eV/atom
Space group   C2/c, No. 15
Energy relative to the elements   -761 meV/atom
Density of states at the Fermi level   4.551 states/eV/f.u.
Total magnetization   0.0 μB/f.u.

Cell lengths 7.2025, 7.2025, 7.8110 Å; angles 107.44, 107.44, 49.20 degrees
Sites, in units of the cell vectors:
Th: 0.0361 0.9639 0.7500
Th: 0.3425 0.3636 0.9457
Th: 0.3636 0.3425 0.4457
Th: 0.6364 0.6575 0.5543
Th: 0.6575 0.6364 0.0543
Th: 0.9639 0.0361 0.2500
Pt: 0.1615 0.1825 0.5948
Pt: 0.1825 0.1615 0.0948
Pt: 0.8175 0.8385 0.9052
Pt: 0.8385 0.8175 0.4052
C: 0.4537 0.5463 0.7500
C: 0.5463 0.4537 0.2500

[16]
DFT (PBE) results for a relaxed structure of KP3.

Summary:
DFT total energy   -3.7260 eV/atom
Space group   R-3m, No. 166
Energy relative to the elements   606 meV/atom
Density of states at the Fermi level   2.053 states/eV/f.u.
Total magnetization   0.0 μB/f.u.

Cell lengths 5.8910, 5.8910, 5.8910 Å; angles 117.92, 117.92, 117.92 degrees
Sites, in units of the cell vectors:
K: 0.0000 0.0000 0.0000
P: 0.0000 0.5000 0.5000
P: 0.5000 0.0000 0.5000
P: 0.5000 0.5000 0.0000

[17]
DFT (PBE) results for a relaxed structure of MgAl2Pb.

Summary:
DFT total energy   -3.0447 eV/atom
Space group   C2/m, No. 12
Energy relative to the elements   152 meV/atom
Density of states at the Fermi level   1.505 states/eV/f.u.
Total magnetization   0.0 μB/f.u.

Cell lengths 5.3361, 5.3361, 5.4506 Å; angles 100.39, 100.39, 35.86 degrees
Sites, in units of the cell vectors:
Mg: 0.0000 0.0000 0.0000
Al: 0.2555 0.2555 0.7833
Al: 0.7445 0.7445 0.2167
Pb: 0.5000 0.5000 0.5000

[18]
DFT (PBE) results for a relaxed structure of AcSnF.

Summary:
Formation energy from raw total energies   -1.691 eV/atom
DFT total energy   -5.0183 eV/atom
Space group   I4mm, No. 107
Density of states at the Fermi level   2.096 states/eV/f.u.
Total magnetization   0.0 μB/f.u.

Cell lengths 6.7141, 6.7141, 6.7141 Å; angles 148.75, 148.75, 44.78 degrees
Sites, in units of the cell vectors:
Ac: 0.0000 0.0000 0.0000
Sn: 0.2852 0.2852 0.0000
F: 0.5528 0.5528 0.0000

[19]
DFT (PBE) results for a relaxed structure of HgI.

Summary:
Formation energy from raw total energies   -0.040 eV/atom
DFT total energy   -0.9662 eV/atom
Space group   P2_1/m, No. 11
Density of states at the Fermi level   1.588 states/eV/f.u.
Total magnetization   0.0 μB/f.u.

Cell lengths 4.2605, 4.0754, 8.3307 Å; angles 90.00, 104.73, 90.00 degrees
Sites, in units of the cell vectors:
Hg: 0.0658 0.2500 0.1386
Hg: 0.9342 0.7500 0.8614
I: 0.3514 0.2500 0.7004
I: 0.6486 0.7500 0.2996

[20]
DFT (PBE) results for a relaxed structure of Hf2MnAg.

Summary:
DFT total energy   -7.9304 eV/atom
Space group   P4/mmm, No. 123
Energy relative to the elements   52 meV/atom
Density of states at the Fermi level   3.145 states/eV/f.u.
Total magnetization   0.0 μB/f.u.

Cell lengths 4.6094, 4.6094, 3.3389 Å; angles 90.00, 90.00, 90.00 degrees
Sites, in units of the cell vectors:
Hf: 0.0000 0.5000 0.0000
Hf: 0.5000 0.0000 0.0000
Mn: 0.0000 0.0000 0.5000
Ag: 0.5000 0.5000 0.5000